[1]
The following is a PBE-GGA calculation of a relaxed Nb2SnPd6 crystal, from Alexandria.

Structure (CIF):
```
data_Nb2SnPd6
_cell_length_a 7.620
_cell_length_b 13.902
_cell_length_c 2.872
_cell_angle_alpha 90.00
_cell_angle_beta 90.00
_cell_angle_gamma 90.00
_symmetry_space_group_name_H-M 'C m m m'
_symmetry_Int_Tables_number 65
_symmetry_space_group_name_Hall '-C 2 2'
loop_
_atom_site_label
_atom_site_fract_x
_atom_site_fract_y
_atom_site_fract_z
Nb1 0.000 0.184 0.000
Sn1 0.000 0.500 0.500
Pd1 0.177 0.000 0.000
Pd2 0.186 0.337 0.500
```

Values from the calculation:
As for the total DFT energy (no corrections): -6.4026 eV per atom. For the mass density, the calculation gives 10.29 g cm⁻³.

---

[2]
The following is a PBE-GGA calculation of a relaxed Fe2AsPb crystal, from Alexandria.

Structure (CIF):
```
data_Fe2AsPb
_cell_length_a 7.830
_cell_length_b 3.168
_cell_length_c 6.162
_cell_angle_alpha 90.00
_cell_angle_beta 108.21
_cell_angle_gamma 90.00
_symmetry_space_group_name_H-M 'C 1 2/m 1'
_symmetry_Int_Tables_number 12
loop_
_symmetry_equiv_pos_as_xyz
'x,y,z'
'-x,-y,-z'
'-x,y,-z'
'x,-y,z'
'x+1/2,y+1/2,z'
'-x+1/2,-y+1/2,-z'
'-x+1/2,y+1/2,-z'
'x+1/2,-y+1/2,z'
loop_
_atom_site_label
_atom_site_fract_x
_atom_site_fract_y
_atom_site_fract_z
Fe1 0.248 0.000 0.153
As1 0.000 0.500 0.000
Pb1 0.000 0.000 0.500
```

Values from the calculation:
As for the polymorph energy (0 for the lowest one): 132.0 meV per atom. As for the total DFT energy (no corrections): -6.0357 eV per atom. For the mass density, the calculation gives 9.01 g cm⁻³.

---

[3]
The following is a PBE-GGA calculation of a relaxed PrHo2Ga2 crystal, from Alexandria.

Structure (CIF):
```
data_PrHo2Ga2
_cell_length_a 8.356
_cell_length_b 8.356
_cell_length_c 3.685
_cell_angle_alpha 90.00
_cell_angle_beta 90.00
_cell_angle_gamma 90.00
_symmetry_space_group_name_H-M 'P 4/m b m'
_symmetry_Int_Tables_number 127
_symmetry_space_group_name_Hall '-P 4 2ab'
loop_
_atom_site_label
_atom_site_fract_x
_atom_site_fract_y
_atom_site_fract_z
Pr1 0.000 0.000 0.000
Ho1 0.174 0.326 0.500
Ga1 0.121 0.621 0.000
```

Values from the calculation:
As for the polymorph energy (0 for the lowest one): 0.0 meV per atom. As for the total DFT energy (no corrections): -4.4456 eV per atom. For the mass density, the calculation gives 7.88 g cm⁻³.

---

[4]
The following is a PBE-GGA calculation of a relaxed Sc6Zn5 crystal, from Alexandria.

Structure (CIF):
```
data_Sc6Zn5
_cell_length_a 4.645
_cell_length_b 6.788
_cell_length_c 13.906
_cell_angle_alpha 90.00
_cell_angle_beta 90.00
_cell_angle_gamma 90.00
_symmetry_space_group_name_H-M 'I m m m'
_symmetry_Int_Tables_number 71
_symmetry_space_group_name_Hall '-I 2 2'
loop_
_atom_site_label
_atom_site_fract_x
_atom_site_fract_y
_atom_site_fract_z
Sc1 0.000 0.240 0.000
Sc2 0.000 0.258 0.340
Zn1 0.000 0.000 0.176
Zn2 0.000 0.000 0.500
Zn3 0.000 0.500 0.169
```

Values from the calculation:
As for the total DFT energy (no corrections): -4.2904 eV per atom. For the mass density, the calculation gives 4.52 g cm⁻³.

---

[5]
The following is a PBE-GGA calculation of a relaxed Ag2AsPt crystal, from Alexandria.

Structure (CIF):
```
data_Ag2AsPt
_cell_length_a 4.883
_cell_length_b 4.883
_cell_length_c 2.955
_cell_angle_alpha 90.00
_cell_angle_beta 90.00
_cell_angle_gamma 90.00
_symmetry_space_group_name_H-M 'P 4/m m m'
_symmetry_Int_Tables_number 123
_symmetry_space_group_name_Hall '-P 4 2'
loop_
_atom_site_label
_atom_site_fract_x
_atom_site_fract_y
_atom_site_fract_z
Ag1 0.000 0.500 0.000
As1 0.000 0.000 0.500
Pt1 0.500 0.500 0.500
```

Values from the calculation:
As for the total DFT energy (no corrections): -3.8856 eV per atom. For the mass density, the calculation gives 11.45 g cm⁻³.

---

[6]
The following is a PBE-GGA calculation of a relaxed HoHfZnCo crystal, from Alexandria.

Structure (CIF):
```
data_HoHfZnCo
_cell_length_a 6.654
_cell_length_b 6.654
_cell_length_c 6.654
_cell_angle_alpha 90.00
_cell_angle_beta 90.00
_cell_angle_gamma 90.00
_symmetry_space_group_name_H-M 'F -4 3 m'
_symmetry_Int_Tables_number 216
_symmetry_space_group_name_Hall 'F -4 2 3'
loop_
_atom_site_label
_atom_site_fract_x
_atom_site_fract_y
_atom_site_fract_z
Ho1 0.000 0.000 0.000
Hf1 0.000 0.000 0.500
Zn1 0.250 0.250 0.250
Co1 0.250 0.250 0.750
```

Values from the calculation:
As for the total DFT energy (no corrections): -5.8995 eV per atom. For the mass density, the calculation gives 10.54 g cm⁻³.

---

[7]
The following is a PBE-GGA calculation of a relaxed LuSbRuRh crystal, from Alexandria.

Structure (CIF):
```
data_LuSbRuRh
_cell_length_a 6.554
_cell_length_b 6.554
_cell_length_c 6.554
_cell_angle_alpha 90.00
_cell_angle_beta 90.00
_cell_angle_gamma 90.00
_symmetry_space_group_name_H-M 'F -4 3 m'
_symmetry_Int_Tables_number 216
_symmetry_space_group_name_Hall 'F -4 2 3'
loop_
_atom_site_label
_atom_site_fract_x
_atom_site_fract_y
_atom_site_fract_z
Lu1 0.000 0.000 0.000
Sb1 0.000 0.000 0.500
Ru1 0.250 0.250 0.750
Rh1 0.250 0.250 0.250
```

Values from the calculation:
As for the formation energy (no corrections): -0.598 eV/atom. As for the total DFT energy (no corrections): -6.9157 eV per atom. For the mass density, the calculation gives 11.81 g cm⁻³.

---

[8]
The following is a PBE-GGA calculation of a relaxed LiBSb crystal, from Alexandria.

Structure (CIF):
```
data_LiBSb
_cell_length_a 8.548
_cell_length_b 3.730
_cell_length_c 7.035
_cell_angle_alpha 90.00
_cell_angle_beta 95.73
_cell_angle_gamma 90.00
_symmetry_space_group_name_H-M 'C 1 2/m 1'
_symmetry_Int_Tables_number 12
loop_
_symmetry_equiv_pos_as_xyz
'x,y,z'
'-x,-y,-z'
'-x,y,-z'
'x,-y,z'
'x+1/2,y+1/2,z'
'-x+1/2,-y+1/2,-z'
'-x+1/2,y+1/2,-z'
'x+1/2,-y+1/2,z'
loop_
_atom_site_label
_atom_site_fract_x
_atom_site_fract_y
_atom_site_fract_z
Li1 0.135 0.000 0.386
B1 0.090 0.500 0.965
Sb1 0.175 0.000 0.802
```

Values from the calculation:
As for the formation energy (no corrections): 0.159 eV/atom. As for the total DFT energy (no corrections): -4.0788 eV per atom. For the mass density, the calculation gives 4.15 g cm⁻³.

---

[9]
The following is a PBE-GGA calculation of a relaxed NaInSn2S6 crystal, from Alexandria.

Structure (CIF):
```
data_NaInSn2S6
_cell_length_a 13.269
_cell_length_b 12.578
_cell_length_c 7.234
_cell_angle_alpha 90.00
_cell_angle_beta 111.46
_cell_angle_gamma 90.00
_symmetry_space_group_name_H-M 'C 1 2/c 1'
_symmetry_Int_Tables_number 15
loop_
_symmetry_equiv_pos_as_xyz
'x,y,z'
'-x,-y,-z'
'-x,y,-z+1/2'
'x,-y,z+1/2'
'x+1/2,y+1/2,z'
'-x+1/2,-y+1/2,-z'
'-x+1/2,y+1/2,-z+1/2'
'x+1/2,-y+1/2,z+1/2'
loop_
_atom_site_label
_atom_site_fract_x
_atom_site_fract_y
_atom_site_fract_z
Na1 0.000 0.123 0.250
In1 0.000 0.202 0.750
Sn1 0.195 0.422 0.198
S1 0.111 0.065 0.646
S2 0.120 0.434 0.466
S3 0.131 0.244 0.087
```

Values from the calculation:
As for the formation energy (no corrections): -0.487 eV/atom. As for the total DFT energy (no corrections): -4.1699 eV per atom. For the mass density, the calculation gives 3.36 g cm⁻³.

---

[10]
The following is a PBE-GGA calculation of a relaxed SiSbPbO6 crystal, from Alexandria.

Structure (CIF):
```
data_SiSbPbO6
_cell_length_a 5.1044
_cell_length_b 5.1044
_cell_length_c 5.0144
_cell_angle_alpha 90.00
_cell_angle_beta 90.00
_cell_angle_gamma 120.00
_symmetry_space_group_name_H-M 'P 3 1 2'
_symmetry_Int_Tables_number 149
loop_
_symmetry_equiv_pos_as_xyz
'x,y,z'
'-y,x-y,z'
'-x+y,-x,z'
'-y,-x,-z'
'-x+y,y,-z'
'x,x-y,-z'
loop_
_atom_site_label
_atom_site_fract_x
_atom_site_fract_y
_atom_site_fract_z
Si1 0.0000 0.0000 0.0000
Sb1 0.6667 0.3333 0.0000
Pb1 0.3333 0.6667 0.5000
O1 0.3067 0.0302 0.2069
```

Values from the calculation:
As for the formation energy (no corrections): -1.667 eV/atom. As for the total DFT energy (no corrections): -6.4450 eV per atom. For the mass density, the calculation gives 6.65 g cm⁻³.